[1]
Entry from Alexandria: a relaxed AlCoGe2 crystal (PBE-GGA).

Values from the calculation:
The total magnetization comes out at 0.738 μB per formula unit. As for the calculated formation energy: 0.034 eV/atom. Its symmetry is No. 166.

a = 2.908 Å, b = 2.908 Å, c = 8.951 Å
α = 80.65°, β = 80.65°, γ = 60.00°
Element x y z (fractional)
Ge 0.900 0.900 0.299
Ge 0.100 0.100 0.701
Al 0.000 0.000 0.000
Co 0.500 0.500 0.500

---

[2]
Entry from Alexandria: a relaxed AlCo3Ge crystal (PBE-GGA).

Values from the calculation:
The total magnetization comes out at 2.201 μB per formula unit. As for the calculated formation energy: 0.656 eV/atom. Its symmetry is No. 221. Its energy above the most stable polymorph in this dataset is 0 meV/atom.

a = 4.256 Å, b = 4.256 Å, c = 4.256 Å
α = 90.00°, β = 90.00°, γ = 90.00°
Element x y z (fractional)
Co 0.000 0.500 0.000
Co 0.000 0.000 0.500
Co 0.500 0.000 0.000
Ge 0.000 0.000 0.000
Al 0.500 0.500 0.500

---

- The highest calculated formation energy belongs to which entry?
  AlCo3Ge

---

- Which of these has the highest calculated formation energy?
  AlCo3Ge